Hf2InTc | PBE | relaxed

Lattice parameters (Å, degrees): 4.758 4.758 4.758 60.00 60.00 60.00
Sites, in units of the cell vectors:
1 Hf 0.000 0.000 0.000
2 Hf 0.750 0.750 0.750
3 In 0.500 0.500 0.500
4 Tc 0.250 0.250 0.250

Values from the calculation:
Crystal system ... cubic
Calculated total energy ... -8.286 eV/atom

YGaW | PBE | relaxed

Lattice parameters (Å, degrees): 4.658 4.658 4.658 60.00 60.00 60.00
Sites, in units of the cell vectors:
1 Ga 0.250 0.250 0.250
2 W 0.000 0.000 0.000
3 Y 0.750 0.750 0.750

Values from the calculation:
Energy relative to the lowest polymorph listed for this composition ... 0 meV/atom
Crystal system ... cubic
Calculated total energy ... -6.594 eV/atom

LuNpCd | PBE | relaxed

Lattice parameters (Å, degrees): 4.937 4.937 4.937 60.00 60.00 60.00
Site moments in Bohr magnetons follow the coordinates.
Sites, in units of the cell vectors:
1 Cd 0.750 0.750 0.750  -0.01
2 Lu 0.000 0.000 0.000  0.42
3 Np 0.250 0.250 0.250  4.24

Values from the calculation:
Crystal system ... cubic
Calculated total energy ... -5.180 eV/atom
Energy of formation ... 0.883 eV/atom

NbGaCoAu | PBE | relaxed

Lattice parameters (Å, degrees): 4.459 4.459 4.459 60.00 60.00 60.00
Site moments in Bohr magnetons follow the coordinates.
Sites, in units of the cell vectors:
1 Au 0.250 0.250 0.250  -0.02
2 Co 0.750 0.750 0.750  0.53
3 Ga 0.000 0.000 0.000  0.00
4 Nb 0.500 0.500 0.500  -0.18

Values from the calculation:
Energy relative to the lowest polymorph listed for this composition ... 78 meV/atom
Crystal system ... cubic
Calculated total energy ... -5.857 eV/atom

Number 1: total moment 0.00 μB/f.u.. Number 2: total moment 1.93 μB/f.u.. Number 3: total moment 4.85 μB/f.u.. Number 4: total moment 0.29 μB/f.u..